(1)
A plane-wave DFT calculation with PBE was carried out for a relaxed structure of ZrHgSbTe2.

Cell lengths 5.4695, 5.4695, 5.4585 Å; angles 90.00, 90.00, 90.00 degrees
With the nearest neighbours (Å) after each atom.
Sites, in units of the cell vectors:
Zr: 0.0000 0.0000 0.0000  8 Te 3.86, 4 Sb 3.87
Hg: 0.5000 0.5000 0.5000  2 Sb 2.73, 4 Te 2.73
Sb: 0.5000 0.5000 0.0000  2 Hg 2.73
Te: 0.0000 0.5000 0.5000  2 Hg 2.73
Te: 0.5000 0.0000 0.5000  2 Hg 2.73

Summary:
E_tot (eV per atom): -3.0268

=====

(2)
A plane-wave DFT calculation with PBE was carried out for a relaxed structure of GePd2N.

Cell lengths 4.2207, 4.2207, 4.2207 Å; angles 60.00, 60.00, 60.00 degrees
With the nearest neighbours (Å) after each atom.
Sites, in units of the cell vectors:
Ge: 0.0000 0.0000 0.0000  8 Pd 2.58
Pd: 0.2500 0.2500 0.2500  4 N 2.58, 4 Ge 2.58
Pd: 0.7500 0.7500 0.7500  4 N 2.58, 4 Ge 2.58
N: 0.5000 0.5000 0.5000  8 Pd 2.58

Summary:
E_tot (eV per atom): -5.1982

=====

| no. | offset from the most stable computed form (eV per atom) | M_tot (μB per formula unit) |
| --- | --- | --- |
| 1 | 0.872 | 0.00 |
| 2 | 0.264 | 0.00 |